An optimized crystal structure of Ho4SiPbSe2. Source: Alexandria, functional GGA-PBE.

Cell lengths 7.270, 4.119, 7.312 Å; angles 90.00, 109.00, 90.00 degrees
Space group P2/m (No. 10)
Asymmetric unit:
Ho  0.241  0.000  0.235
Ho  0.253  0.500  0.766
Si  0.000  0.500  0.000
Pb  0.000  0.000  0.500
Se  0.500  0.000  0.000
Se  0.500  0.500  0.500

Theoretical density: 8.4 Mg/m³
Energy relative to the elements, uncorrected: -1.1669 eV/atom